No. 1
Computed, not measured: a geometry-optimized ReI4 structure at the PBE level of DFT.

Computed properties:
- Energy relative to the lowest polymorph listed for this composition: 3.1 meV per atom
- Space group: No. 12

Cell lengths 7.8282, 7.8282, 9.5029 Å; angles 124.39, 124.39, 54.68 degrees
Each line ends with the local moment (μB).
Element x y z (fractional)
I 0.6694 0.6694 0.1427  0.00
I 0.2102 0.2102 0.1754  0.03
I 0.7872 0.2555 0.3003  0.04
I 0.2555 0.7872 0.3003  0.04
I 0.7445 0.2128 0.6997  0.04
I 0.2128 0.7445 0.6997  0.04
I 0.7898 0.7898 0.8246  0.03
I 0.3306 0.3306 0.8573  0.00
Re 0.8039 0.1961 0.0000  0.61
Re 0.1961 0.8039 0.0000  0.61

***

No. 2
Computed, not measured: a geometry-optimized PrYNO structure at the PBE level of DFT.

Computed properties:
- Energy relative to the lowest polymorph listed for this composition: 14.7 meV per atom
- Space group: No. 57

Cell lengths 6.8166, 8.2574, 5.0693 Å; angles 90.00, 90.00, 90.00 degrees
Element x y z (fractional)
N 0.9203 0.1162 0.0508
N 0.4203 0.8838 0.0508
N 0.5797 0.1162 0.5508
N 0.0797 0.8838 0.5508
O 0.4147 0.3555 0.0504
O 0.9147 0.6445 0.0504
O 0.0853 0.3555 0.5504
O 0.5853 0.6445 0.5504
Pr 0.0693 0.3739 0.0506
Pr 0.5693 0.6261 0.0506
Pr 0.4307 0.3739 0.5506
Pr 0.9307 0.6261 0.5506
Y 0.5855 0.1212 0.0505
Y 0.0855 0.8788 0.0505
Y 0.9145 0.1212 0.5505
Y 0.4145 0.8788 0.5505

***

No. 3
Computed, not measured: a geometry-optimized Ba2NaTcS6 structure at the PBE level of DFT.

Computed properties:
- Energy relative to the lowest polymorph listed for this composition: 0.5 meV per atom
- Space group: No. 2

Cell lengths 6.0749, 6.9928, 7.1582 Å; angles 67.53, 65.07, 64.35 degrees
Each line ends with the local moment (μB).
Element x y z (fractional)
Ba 0.7519 0.2344 0.2622  0.01
Ba 0.2481 0.7656 0.7378  0.01
Na 0.0000 0.5000 0.5000  0.00
S 0.8097 0.7356 0.1732  0.00
S 0.2871 0.7330 0.1739  0.00
S 0.2733 0.1467 0.3074  0.01
S 0.7267 0.8533 0.6926  0.01
S 0.7129 0.2670 0.8261  0.00
S 0.1903 0.2644 0.8268  0.00
Tc 0.5000 0.0000 0.0000  0.57

***

No. 4
Computed, not measured: a geometry-optimized NbTePO structure at the PBE level of DFT.

Computed properties:
- Energy relative to the lowest polymorph listed for this composition: 570.5 meV per atom
- Space group: No. 129

Cell lengths 4.6875, 4.6875, 5.7664 Å; angles 90.00, 90.00, 90.00 degrees
Element x y z (fractional)
Nb 0.7500 0.2500 0.5000
Nb 0.2500 0.7500 0.5000
O 0.7500 0.2500 0.0000
O 0.2500 0.7500 0.0000
P 0.7500 0.7500 0.3393
P 0.2500 0.2500 0.6607
Te 0.2500 0.2500 0.1264
Te 0.7500 0.7500 0.8736

***

No. 5
Computed, not measured: a geometry-optimized RbAgAsAu structure at the PBE level of DFT.

Computed properties:
- Energy relative to the lowest polymorph listed for this composition: 9.5 meV per atom
- Space group: No. 216

Cell lengths 5.0975, 5.0975, 5.0975 Å; angles 60.00, 60.00, 60.00 degrees
Element x y z (fractional)
Ag 0.5000 0.5000 0.5000
As 0.0000 0.0000 0.0000
Au 0.7500 0.7500 0.7500
Rb 0.2500 0.2500 0.2500

***

No. 6
Computed, not measured: a geometry-optimized TmMgIn2 structure at the PBE level of DFT.

Computed properties:
- Space group: No. 123

Cell lengths 4.5972, 4.5972, 4.4515 Å; angles 90.00, 90.00, 90.00 degrees
Element x y z (fractional)
In 0.5000 0.0000 0.0000
In 0.0000 0.5000 0.0000
Mg 0.0000 0.0000 0.5000
Tm 0.5000 0.5000 0.5000

***

No. 7
Computed, not measured: a geometry-optimized Tb2YMg3AgAu2 structure at the PBE level of DFT.

Computed properties:
- Space group: No. 38

Cell lengths 3.9872, 7.7622, 7.7622 Å; angles 120.10, 90.00, 90.00 degrees
Element x y z (fractional)
Ag 0.0000 0.0005 0.0005
Au 0.5000 0.6670 0.3329
Au 0.5000 0.3329 0.6670
Mg 0.5000 0.2515 0.2515
Mg 0.5000 0.9991 0.7491
Mg 0.5000 0.7491 0.9991
Tb 0.0000 0.4128 0.0000
Tb 0.0000 0.0000 0.4128
Y 0.0000 0.5873 0.5873

***

No. 8
Computed, not measured: a geometry-optimized Re2TeSe2S structure at the PBE level of DFT.

Computed properties:
- Energy relative to the lowest polymorph listed for this composition: 0.0 meV per atom
- Space group: No. 2

Cell lengths 6.6950, 6.8546, 7.0936 Å; angles 91.54, 104.11, 118.31 degrees
Element x y z (fractional)
Re 0.0685 0.8251 0.4889
Re 0.4891 0.7944 0.4959
Re 0.5109 0.2056 0.5041
Re 0.9315 0.1749 0.5111
S 0.2693 0.8983 0.2466
S 0.7307 0.1017 0.7534
Se 0.7271 0.8470 0.2483
Se 0.2511 0.3689 0.3222
Se 0.7489 0.6311 0.6778
Se 0.2729 0.1530 0.7517
Te 0.7764 0.3939 0.2624
Te 0.2236 0.6061 0.7376

***

No. 9
Computed, not measured: a geometry-optimized Ac2Bi4Pd structure at the PBE level of DFT.

Computed properties:
- Space group: No. 139

Cell lengths 9.2420, 9.2420, 9.2420 Å; angles 146.02, 146.02, 48.81 degrees
Element x y z (fractional)
Ac 0.3620 0.3620 0.0000
Ac 0.6380 0.6380 0.0000
Bi 0.1637 0.1637 0.0000
Bi 0.8363 0.8363 0.0000
Bi 0.5000 0.0000 0.5000
Bi 0.0000 0.5000 0.5000
Pd 0.0000 0.0000 0.0000

***

No. 10
Computed, not measured: a geometry-optimized HgGeIr structure at the PBE level of DFT.

Computed properties:
- Energy relative to the lowest polymorph listed for this composition: 0.0 meV per atom
- Space group: No. 216

Cell lengths 4.4101, 4.4101, 4.4101 Å; angles 60.00, 60.00, 60.00 degrees
Element x y z (fractional)
Ge 0.2500 0.2500 0.2500
Hg 0.7500 0.7500 0.7500
Ir 0.0000 0.0000 0.0000

***

No. 11
Computed, not measured: a geometry-optimized LiBeNiBi structure at the PBE level of DFT.

Computed properties:
- Energy relative to the lowest polymorph listed for this composition: 0.0 meV per atom
- Space group: No. 216

Cell lengths 4.3622, 4.3622, 4.3622 Å; angles 60.00, 60.00, 60.00 degrees
Element x y z (fractional)
Be 0.7500 0.7500 0.7500
Bi 0.2500 0.2500 0.2500
Li 0.0000 0.0000 0.0000
Ni 0.5000 0.5000 0.5000

***

No. 12
Computed, not measured: a geometry-optimized Na2UTe3 structure at the PBE level of DFT.

Computed properties:
- Space group: No. 63

Cell lengths 7.5559, 7.5559, 11.7233 Å; angles 90.00, 90.00, 144.82 degrees
Each line ends with the local moment (μB).
Element x y z (fractional)
Na 0.5272 0.4728 0.2500  0.00
Na 0.2468 0.7532 0.2500  0.00
Na 0.7532 0.2468 0.7500  0.00
Na 0.4728 0.5272 0.7500  0.00
Te 0.6383 0.3617 0.0438  -0.08
Te 0.9062 0.0938 0.2500  -0.06
Te 0.6383 0.3617 0.4562  -0.08
Te 0.3617 0.6383 0.5438  -0.08
Te 0.0938 0.9062 0.7500  -0.06
Te 0.3617 0.6383 0.9562  -0.08
U 0.0000 0.0000 0.0000  2.23
U 0.0000 0.0000 0.5000  2.23

***

No. 13
Computed, not measured: a geometry-optimized Tb3Mg3IrPt2 structure at the PBE level of DFT.

Computed properties:
- Space group: No. 189

Cell lengths 7.3220, 7.3220, 4.1125 Å; angles 90.00, 90.00, 120.00 degrees
Element x y z (fractional)
Ir 0.0000 0.0000 0.5000
Mg 0.2425 0.0000 0.0000
Mg 0.0000 0.2425 0.0000
Mg 0.7575 0.7575 0.0000
Pt 0.6667 0.3333 0.0000
Pt 0.3333 0.6667 0.0000
Tb 0.5949 0.0000 0.5000
Tb 0.4051 0.4051 0.5000
Tb 0.0000 0.5949 0.5000

***

No. 14
Computed, not measured: a geometry-optimized TaTcPd2 structure at the PBE level of DFT.

Computed properties:
- Space group: No. 216
- ΔH_f (0 K): -0.046 eV per atom

Cell lengths 4.4611, 4.4611, 4.4611 Å; angles 60.00, 60.00, 60.00 degrees
Each line ends with the local moment (μB).
Element x y z (fractional)
Pd 0.2500 0.2500 0.2500  0.07
Pd 0.5000 0.5000 0.5000  0.02
Ta 0.7500 0.7500 0.7500  -0.01
Tc 0.0000 0.0000 0.0000  0.23

***

No. 15
Computed, not measured: a geometry-optimized NdErH4 structure at the PBE level of DFT.

Computed properties:
- Space group: No. 123

Cell lengths 3.7045, 3.7045, 5.3223 Å; angles 90.00, 90.00, 90.00 degrees
Element x y z (fractional)
Er 0.0000 0.0000 0.5000
H 0.5000 0.0000 0.2697
H 0.0000 0.5000 0.2697
H 0.5000 0.0000 0.7303
H 0.0000 0.5000 0.7303
Nd 0.5000 0.5000 0.0000

***

No. 16
Computed, not measured: a geometry-optimized GdErNO structure at the PBE level of DFT.

Computed properties:
- Energy relative to the lowest polymorph listed for this composition: 65.6 meV per atom
- Space group: No. 51

Cell lengths 3.9692, 4.8587, 6.8799 Å; angles 90.00, 90.00, 90.00 degrees
Element x y z (fractional)
Er 0.0000 0.4385 0.3329
Er 0.0000 0.9385 0.6672
Gd 0.5000 0.9385 0.1645
Gd 0.5000 0.4385 0.8355
N 0.0000 0.9384 0.3411
N 0.0000 0.4384 0.6589
O 0.5000 0.4385 0.1838
O 0.5000 0.9385 0.8162

***

No. 17
Computed, not measured: a geometry-optimized TbGe2Au4 structure at the PBE level of DFT.

Computed properties:
- Space group: No. 65

Cell lengths 7.4446, 7.4446, 4.3928 Å; angles 90.00, 90.00, 145.36 degrees
Element x y z (fractional)
Au 0.6791 0.3209 0.0000
Au 0.3209 0.6791 0.0000
Au 0.8249 0.1751 0.5000
Au 0.1751 0.8249 0.5000
Ge 0.5853 0.4147 0.5000
Ge 0.4147 0.5853 0.5000
Tb 0.0000 0.0000 0.0000

***

No. 18
Computed, not measured: a geometry-optimized LiPmTa structure at the PBE level of DFT.

Computed properties:
- Space group: No. 216

Cell lengths 4.7821, 4.7821, 4.7821 Å; angles 60.00, 60.00, 60.00 degrees
Each line ends with the local moment (μB).
Element x y z (fractional)
Li 0.7500 0.7500 0.7500  -0.01
Pm 0.5000 0.5000 0.5000  0.32
Ta 0.2500 0.2500 0.2500  0.88

***

No. 19
Computed, not measured: a geometry-optimized BaThNi structure at the PBE level of DFT.

Computed properties:
- Energy relative to the lowest polymorph listed for this composition: 0.0 meV per atom
- Space group: No. 216

Cell lengths 5.0464, 5.0464, 5.0464 Å; angles 60.00, 60.00, 60.00 degrees
Each line ends with the local moment (μB).
Element x y z (fractional)
Ba 0.0000 0.0000 0.0000  0.02
Ni 0.2500 0.2500 0.2500  0.02
Th 0.5000 0.5000 0.5000  0.07

***

No. 20
Computed, not measured: a geometry-optimized CsBeFe structure at the PBE level of DFT.

Computed properties:
- Energy relative to the lowest polymorph listed for this composition: 367.4 meV per atom
- Space group: No. 216

Cell lengths 5.7512, 5.7512, 5.7512 Å; angles 60.00, 60.00, 60.00 degrees
Element x y z (fractional)
Be 0.2500 0.2500 0.2500
Cs 0.0000 0.0000 0.0000
Fe 0.7500 0.7500 0.7500

***

No. 21
Computed, not measured: a geometry-optimized GdCu3Ni2 structure at the PBE level of DFT.

Computed properties:
- Space group: No. 191
- ΔH_f (0 K): -0.263 eV per atom

Cell lengths 4.9259, 4.9259, 4.0221 Å; angles 90.00, 90.00, 120.00 degrees
Element x y z (fractional)
Cu 0.5000 0.0000 0.5000
Cu 0.0000 0.5000 0.5000
Cu 0.5000 0.5000 0.5000
Gd 0.0000 0.0000 0.0000
Ni 0.6667 0.3333 0.0000
Ni 0.3333 0.6667 0.0000

***

No. 22
Computed, not measured: a geometry-optimized Ta4Ni11 structure at the PBE level of DFT.

Computed properties:
- Energy relative to the lowest polymorph listed for this composition: 0.0 meV per atom
- Space group: No. 136
- ΔH_f (0 K): -0.184 eV per atom

Cell lengths 8.9614, 8.9614, 4.7379 Å; angles 90.00, 90.00, 90.00 degrees
Element x y z (fractional)
Ni 0.0000 0.0000 0.0000
Ni 0.7434 0.0671 0.0000
Ni 0.9329 0.2566 0.0000
Ni 0.4111 0.4111 0.0000
Ni 0.5889 0.5889 0.0000
Ni 0.0671 0.7434 0.0000
Ni 0.2566 0.9329 0.0000
Ni 0.1777 0.1777 0.2487
Ni 0.8223 0.8223 0.2487
Ni 0.6777 0.3223 0.2513
Ni 0.3223 0.6777 0.2513
Ni 0.9111 0.0889 0.5000
Ni 0.4329 0.2434 0.5000
Ni 0.2434 0.4329 0.5000
Ni 0.5000 0.5000 0.5000
Ni 0.7566 0.5671 0.5000
Ni 0.5671 0.7566 0.5000
Ni 0.0889 0.9111 0.5000
Ni 0.6777 0.3223 0.7487
Ni 0.3223 0.6777 0.7487
Ni 0.1777 0.1777 0.7513
Ni 0.8223 0.8223 0.7513
Ta 0.4594 0.1488 0.0000
Ta 0.1488 0.4594 0.0000
Ta 0.8512 0.5406 0.0000
Ta 0.5406 0.8512 0.0000
Ta 0.6488 0.0406 0.5000
Ta 0.9594 0.3512 0.5000
Ta 0.0406 0.6488 0.5000
Ta 0.3512 0.9594 0.5000

***

No. 23
Computed, not measured: a geometry-optimized LaNdLu structure at the PBE level of DFT.

Computed properties:
- Energy relative to the lowest polymorph listed for this composition: 0.0 meV per atom
- Space group: No. 216
- ΔH_f (0 K): 0.646 eV per atom

Cell lengths 5.5127, 5.5127, 5.5127 Å; angles 60.00, 60.00, 60.00 degrees
Element x y z (fractional)
La 0.2500 0.2500 0.2500
Lu 0.0000 0.0000 0.0000
Nd 0.7500 0.7500 0.7500

***

No. 24
Computed, not measured: a geometry-optimized KTcB structure at the PBE level of DFT.

Computed properties:
- Energy relative to the lowest polymorph listed for this composition: 182.0 meV per atom
- Space group: No. 216

Cell lengths 4.1918, 4.1918, 4.1918 Å; angles 60.00, 60.00, 60.00 degrees
Each line ends with the local moment (μB).
Element x y z (fractional)
B 0.0000 0.0000 0.0000  -0.09
K 0.5000 0.5000 0.5000  0.01
Tc 0.2500 0.2500 0.2500  1.04

***

No. 25
Computed, not measured: a geometry-optimized HfAuNO structure at the PBE level of DFT.

Computed properties:
- Energy relative to the lowest polymorph listed for this composition: 667.1 meV per atom
- Space group: No. 129

Cell lengths 3.5446, 3.5446, 7.9641 Å; angles 90.00, 90.00, 90.00 degrees
Element x y z (fractional)
Au 0.7500 0.2500 0.5000
Au 0.2500 0.7500 0.5000
Hf 0.2500 0.2500 0.1560
Hf 0.7500 0.7500 0.8440
N 0.7500 0.7500 0.2474
N 0.2500 0.2500 0.7526
O 0.7500 0.2500 0.0000
O 0.2500 0.7500 0.0000

***

These records have DFT total energy values of -3.632; -8.224; -4.960; -6.178; -2.640; -3.243; -3.863; -6.880; -4.670; -4.346; -3.721; -4.562; -5.251; -8.187; -4.462; -7.860; -4.200; -4.643; -4.558; -2.161; -4.753; -7.428; -4.090; -3.918; -7.473 eV per atom, in the order they appear.